(1)
A relaxed structure of Nd11Ag9Ir4. Source: Alexandria, functional PBE. Values from VASP.

Output
SG: No. 65
Formation energy in eV/atom: -0.3896
Magnetic moment in μB/cell: 0.00

```
&SYSTEM
  ibrav = 0, nat = 24, ntyp = 3
/
ATOMIC_SPECIES
Nd 144.24 Nd.upf
Ag 107.87 Ag.upf
Ir 192.22 Ir.upf
CELL_PARAMETERS angstrom
7.2784 -10.9069 0.0000
7.2784 10.9069 0.0000
0.0000 0.0000 3.7932
ATOMIC_POSITIONS crystal
Nd 0.0000 0.0000 0.0000
Nd 0.0812 0.4155 0.0000
Nd 0.1661 0.8339 0.0000
Nd 0.2995 0.2995 0.0000
Nd 0.3683 0.6317 0.0000
Nd 0.4155 0.0812 0.0000
Nd 0.5845 0.9188 0.0000
Nd 0.6317 0.3683 0.0000
Nd 0.7005 0.7005 0.0000
Nd 0.8339 0.1661 0.0000
Nd 0.9188 0.5845 0.0000
Ag 0.0653 0.2108 0.5000
Ag 0.1567 0.6338 0.5000
Ag 0.2108 0.0653 0.5000
Ag 0.3662 0.8433 0.5000
Ag 0.5000 0.5000 0.5000
Ag 0.6338 0.1567 0.5000
Ag 0.7892 0.9347 0.5000
Ag 0.8433 0.3662 0.5000
Ag 0.9347 0.7892 0.5000
Ir 0.2542 0.4501 0.5000
Ir 0.4501 0.2542 0.5000
Ir 0.5499 0.7458 0.5000
Ir 0.7458 0.5499 0.5000
```

***

(2)
A relaxed structure of Rb3Hg4As2. Source: Alexandria, functional PBE. Values from VASP.

Output
SG: No. 12
Formation energy in eV/atom: -0.3159
Magnetic moment in μB/cell: 0.00

```
&SYSTEM
  ibrav = 0, nat = 9, ntyp = 3
/
ATOMIC_SPECIES
Rb 85.47 Rb.upf
Hg 200.59 Hg.upf
As 74.92 As.upf
CELL_PARAMETERS angstrom
6.6443 -2.4063 0.0000
6.6443 2.4063 0.0000
-1.5702 0.0000 9.9276
ATOMIC_POSITIONS crystal
Rb 0.0000 0.0000 0.0000
Rb 0.3316 0.3316 0.3457
Rb 0.6684 0.6684 0.6543
Hg 0.0543 0.0543 0.3806
Hg 0.2832 0.2832 0.9315
Hg 0.7168 0.7168 0.0685
Hg 0.9457 0.9457 0.6194
As 0.3941 0.3941 0.7236
As 0.6059 0.6059 0.2764
```

***

(3)
A relaxed structure of Sr2CdSn4Ir3. Source: Alexandria, functional PBE. Values from VASP.

Output
SG: No. 115
Formation energy in eV/atom: -0.3920
Magnetic moment in μB/cell: 0.00

```
&SYSTEM
  ibrav = 0, nat = 10, ntyp = 4
/
ATOMIC_SPECIES
Sr 87.62 Sr.upf
Cd 112.41 Cd.upf
Sn 118.71 Sn.upf
Ir 192.22 Ir.upf
CELL_PARAMETERS angstrom
4.6088 0.0000 0.0000
0.0000 4.6088 0.0000
0.0000 0.0000 11.2359
ATOMIC_POSITIONS crystal
Sr 0.0000 0.5000 0.2442
Sr 0.5000 0.0000 0.7558
Cd 0.0000 0.0000 0.5000
Sn 0.0000 0.0000 0.0000
Sn 0.0000 0.5000 0.6411
Sn 0.5000 0.0000 0.3589
Sn 0.5000 0.5000 0.0000
Ir 0.0000 0.5000 0.8759
Ir 0.5000 0.0000 0.1241
Ir 0.5000 0.5000 0.5000
```

***

(4)
A relaxed structure of CeSiPt2. Source: Alexandria, functional PBE. Values from VASP.

Output
SG: No. 166
Uncorrected formation energy in eV/atom: -0.99
Magnetic moment in μB/cell: 0.43

```
&SYSTEM
  ibrav = 0, nat = 4, ntyp = 3
/
ATOMIC_SPECIES
Ce 140.12 Ce.upf
Si 28.09 Si.upf
Pt 195.08 Pt.upf
CELL_PARAMETERS angstrom
2.0896 1.2064 5.1340
-2.0896 1.2064 5.1340
0.0000 -2.4129 5.1340
ATOMIC_POSITIONS crystal
Ce 0.0000 0.0000 0.0000
Si 0.5000 0.5000 0.5000
Pt 0.2150 0.2150 0.2150
Pt 0.7850 0.7850 0.7850
```

***

(5)
A relaxed structure of Mg2MnOs. Source: Alexandria, functional PBE. Values from VASP.

Output
SG: No. 225
Formation energy in eV/atom: 0.3096
Magnetic moment in μB/cell: 4.17
Distance to the lowest polymorph of the same formula in eV per atom: 0.2258

```
&SYSTEM
  ibrav = 0, nat = 4, ntyp = 3
/
ATOMIC_SPECIES
Mg 24.30 Mg.upf
Mn 54.94 Mn.upf
Os 190.23 Os.upf
CELL_PARAMETERS angstrom
0.0000 3.1642 3.1642
3.1642 0.0000 3.1642
3.1642 3.1642 0.0000
ATOMIC_POSITIONS crystal
Mg 0.2500 0.2500 0.2500
Mg 0.7500 0.7500 0.7500
Mn 0.0000 0.0000 0.0000
Os 0.5000 0.5000 0.5000
```

***

Copy entry 4 word for word.
A relaxed structure of CeSiPt2. Source: Alexandria, functional PBE. Values from VASP.

Output
SG: No. 166
Uncorrected formation energy in eV/atom: -0.99
Magnetic moment in μB/cell: 0.43

```
&SYSTEM
  ibrav = 0, nat = 4, ntyp = 3
/
ATOMIC_SPECIES
Ce 140.12 Ce.upf
Si 28.09 Si.upf
Pt 195.08 Pt.upf
CELL_PARAMETERS angstrom
2.0896 1.2064 5.1340
-2.0896 1.2064 5.1340
0.0000 -2.4129 5.1340
ATOMIC_POSITIONS crystal
Ce 0.0000 0.0000 0.0000
Si 0.5000 0.5000 0.5000
Pt 0.2150 0.2150 0.2150
Pt 0.7850 0.7850 0.7850
```

***

Q: What is the magnetic moment in the fourth record?
A: 0.43 μB/cell

***

Q: Look up the magnetic moment of the first one.
A: 0.00 μB/cell

***

Q: Number 4 is which compound?
A: CeSiPt2